# 1
The following is a PBE calculation of a relaxed structure of CaOsO3, from the Alexandria database.

Calculated values
The calculation puts the uncorrected formation energy at -1726 meV/atom. Its total magnetization is 0.92 μB/f.u.

Lattice parameters (Å, degrees): 5.6482 7.7530 5.3673 90.00 90.00 90.00
Last column: nearest neighbours and their distance in Å.
Space group Pnma (No. 62)
Asymmetric unit:
1 Ca 0.0598 0.2500 0.0181  6 O 2.29-2.56
2 Os 0.0000 0.0000 0.5000  6 O 2.02-2.03
3 O 0.0332 0.7500 0.3974  2 Os 2.02
4 O 0.2015 0.5512 0.8041  2 Os 2.03


# 2
The following is a PBE calculation of a relaxed structure of Li2Si2GeRh5, from the Alexandria database.

Calculated values
The calculation puts the uncorrected formation energy at -628 meV/atom. Its total magnetization is 0.00 μB/f.u.

Lattice parameters (Å, degrees): 9.8106 9.8106 3.0278 90.00 90.00 90.00
Last column: nearest neighbours and their distance in Å.
Space group P4/mbm (No. 127)
Asymmetric unit:
1 Li 0.1693 0.3307 0.0000  3 Si 2.76-2.97, 6 Rh 2.79-2.95, 2 Li 3.03
2 Si 0.1315 0.6315 0.0000  6 Rh 2.33-2.37
3 Ge 0.0000 0.0000 0.0000  8 Rh 2.56
4 Rh 0.0000 0.5000 0.5000  4 Si 2.37
5 Rh 0.0741 0.8033 0.5000  2 Si 2.33, 2 Ge 2.56


# 3
The following is a PBE calculation of a relaxed structure of Eu2PO, from the Alexandria database.

Calculated values
The calculation puts the uncorrected formation energy at -1571 meV/atom. Its total magnetization is 13.00 μB/f.u.

Lattice parameters (Å, degrees): 4.4526 4.4526 21.6685 90.00 90.00 120.00
Last column: nearest neighbours and their distance in Å.
Space group R-3m (No. 166, hexagonal axes)
Asymmetric unit:
1 Eu 0.0000 0.0000 0.0966  1 O 2.09
2 P 0.0000 0.0000 0.5000  6 Eu 2.99
3 O 0.0000 0.0000 0.0000  2 Eu 2.09


# 4
The following is a PBE calculation of a relaxed structure of Sr3ZrGa, from the Alexandria database.

Calculated values
The relative energy among the computed polymorphs comes out at 0.000 eV/atom. As for the calculated formation energy: 2.7 eV/f.u. Its total magnetization is 2.94 μB/f.u.

Lattice parameters (Å, degrees): 6.0512 6.0512 6.0512 90.00 90.00 90.00
Last column: nearest neighbours and their distance in Å.
Space group Pm-3m (No. 221)
Asymmetric unit:
1 Sr 0.0000 0.0000 0.5000  2 Ga 3.03
2 Zr 0.5000 0.5000 0.5000  12 Sr 4.28
3 Ga 0.0000 0.0000 0.0000  6 Sr 3.03


# 5
The following is a PBE calculation of a relaxed structure of Pm2Cd3Pb3, from the Alexandria database.

Calculated values
As for the calculated formation energy: -3.0 eV/f.u. Its total magnetization is 0.00 μB/f.u.

Lattice parameters (Å, degrees): 4.7411 4.9256 9.2295 90.00 90.00 90.00
Last column: nearest neighbours and their distance in Å.
Space group Pmmm (No. 47)
Asymmetric unit:
1 Pm 0.0000 0.0000 0.2483  6 Pb 3.30-3.36, 6 Cd 3.39-3.42
2 Cd 0.0000 0.5000 0.5000  4 Cd 3.23, 4 Pm 3.39, 4 Pb 3.42
3 Cd 0.5000 0.5000 0.2630  2 Cd 3.23, 6 Pb 3.29-3.46, 4 Pm 3.42
4 Pb 0.0000 0.5000 0.0000  4 Pm 3.36, 4 Cd 3.39, 4 Pb 3.42
5 Pb 0.5000 0.0000 0.0000  4 Pm 3.30, 4 Pb 3.42, 4 Cd 3.46
6 Pb 0.5000 0.0000 0.5000  8 Cd 3.29-3.42, 4 Pm 3.32


# 6
The following is a PBE calculation of a relaxed structure of Ce6GeSb, from the Alexandria database.

Calculated values
The calculation puts the uncorrected formation energy at -486 meV/atom. Its total magnetization is 5.17 μB/f.u.

Lattice parameters (Å, degrees): 4.6842 4.6842 9.3477 90.00 90.00 90.00
Last column: nearest neighbours and their distance in Å.
Space group P4/mmm (No. 123)
Asymmetric unit:
1 Ce 0.0000 0.0000 0.0000  8 Ce 3.24, 4 Ge 3.31
2 Ce 0.0000 0.0000 0.5000  4 Sb 3.31, 8 Ce 3.38
3 Ce 0.0000 0.5000 0.2399  2 Ge 3.24, 8 Ce 3.24-3.38, 2 Sb 3.38
4 Ge 0.5000 0.5000 0.0000  12 Ce 3.24-3.31
5 Sb 0.5000 0.5000 0.5000  12 Ce 3.31-3.38


# 7
The following is a PBE calculation of a relaxed structure of BaNbPb, from the Alexandria database.

Calculated values
The relative energy among the computed polymorphs comes out at 0.245 eV/atom. As for the calculated formation energy: 0.8 eV/f.u. Its total magnetization is 0.00 μB/f.u.

Lattice parameters (Å, degrees): 3.4838 6.8683 8.4994 71.57 84.10 78.00
Last column: nearest neighbours and their distance in Å.
Space group P1 (No. 1)
Asymmetric unit:
1 Ba 0.0000 0.0000 0.0000  4 Pb 3.44-3.82, 3 Ba 3.48-3.80, 3 Nb 3.53-3.75
2 Ba 0.1400 0.4218 0.2394  3 Ba 3.48-3.80, 1 Nb 3.61, 4 Pb 3.67-3.84
3 Nb 0.6206 0.7064 0.7640  1 Nb 2.42
4 Nb 0.8202 0.0261 0.5919  1 Nb 2.42
5 Pb 0.3086 0.3846 0.6722  3 Nb 2.95-3.12
6 Pb 0.4865 0.8266 0.3863  3 Nb 2.98-3.11


# 8
The following is a PBE calculation of a relaxed structure of Nd3DyY6Tm2, from the Alexandria database.

Calculated values
As for the calculated formation energy: 0.3 eV/f.u. Its total magnetization is 0.00 μB/f.u.

Lattice parameters (Å, degrees): 6.2129 10.7542 11.8458 90.00 100.04 90.00
Last column: nearest neighbours and their distance in Å.
Space group C2/m (No. 12)
Asymmetric unit:
1 Nd 0.0000 0.0000 0.0000  6 Nd 3.58-3.59, 6 Y 3.62
2 Nd 0.0000 0.3331 0.0000  6 Nd 3.58-3.59, 6 Y 3.62
3 Dy 0.0000 0.5000 0.5000  6 Y 3.54, 6 Tm 3.58-3.59
4 Y 0.2484 0.0000 0.7458  1 Dy 3.54, 2 Tm 3.54, 6 Y 3.58-3.59, 3 Nd 3.62
5 Y 0.2488 0.3332 0.7456  2 Tm 3.53, 1 Dy 3.54, 6 Y 3.58-3.59, 3 Nd 3.62
6 Tm 0.0000 0.1667 0.5000  6 Y 3.53-3.54, 3 Dy 3.58-3.59, 3 Tm 3.59


# 9
The following is a PBE calculation of a relaxed structure of Ca2YPd, from the Alexandria database.

Calculated values
The relative energy among the computed polymorphs comes out at 0.314 eV/atom. As for the calculated formation energy: 0.7 eV/f.u. Its total magnetization is 0.00 μB/f.u.

Lattice parameters (Å, degrees): 3.5306 3.5306 34.2894 90.00 90.00 120.00
Last column: nearest neighbours and their distance in Å.
Space group R-3m (No. 166, hexagonal axes)
Asymmetric unit:
1 Ca 0.0000 0.0000 0.0766  1 Pd 2.63
2 Y 0.0000 0.0000 0.5000  6 Y 3.53, 6 Ca 3.70
3 Pd 0.0000 0.0000 0.0000  2 Ca 2.63


# 10
The following is a PBE calculation of a relaxed structure of AgHgIr2, from the Alexandria database.

Calculated values
As for the calculated formation energy: 1.9 eV/f.u. Its total magnetization is 0.00 μB/f.u.

Lattice parameters (Å, degrees): 2.8056 4.9077 4.8927 90.00 90.13 90.00
Last column: nearest neighbours and their distance in Å.
Space group P2/m (No. 10)
Asymmetric unit:
1 Ag 0.0000 0.0000 0.0000  2 Ag 2.81, 4 Ir 2.81, 4 Hg 2.82
2 Hg 0.5000 0.0000 0.5000  2 Hg 2.81, 4 Ag 2.82, 4 Ir 2.85
3 Ir 0.2601 0.5000 0.2373  6 Ir 2.69-2.96, 2 Ag 2.81, 2 Hg 2.85


# 11
The following is a PBE calculation of a relaxed structure of Rb2BaTlF8, from the Alexandria database.

Calculated values
The calculation puts the uncorrected formation energy at -2495 meV/atom. Its total magnetization is 1.09 μB/f.u.

Lattice parameters (Å, degrees): 4.5623 8.2203 6.3814 90.00 90.44 90.00
Last column: nearest neighbours and their distance in Å.
Space group P2/m (No. 10)
Asymmetric unit:
1 Rb 0.0000 0.2389 0.0000  8 F 2.77-2.92
2 Ba 0.5000 0.5000 0.5000  8 F 2.69-2.80
3 Tl 0.5000 0.0000 0.5000  4 F 2.19
4 F 0.0013 0.5000 0.7247  2 Ba 2.69-2.70, 2 Rb 2.77, 1 F 2.87
5 F 0.0084 0.0000 0.3340  1 F 2.12
6 F 0.4952 0.2050 0.7190  1 Tl 2.19


# 12
The following is a PBE calculation of a relaxed structure of RbGe2Pt3, from the Alexandria database.

Calculated values
As for the calculated formation energy: -2.2 eV/f.u. Its total magnetization is 0.00 μB/f.u.

Lattice parameters (Å, degrees): 4.1927 9.1458 7.4222 90.00 90.00 90.00
Last column: nearest neighbours and their distance in Å.
Space group Pmc2_1 (No. 26)
Asymmetric unit:
1 Rb 0.0000 0.0788 0.0000  4 Ge 3.52-3.90, 5 Pt 3.73-3.94
2 Ge 0.0000 0.3041 0.4461  6 Pt 2.50-2.77
3 Ge 0.5000 0.3848 0.9411  4 Pt 2.40-2.50
4 Pt 0.0000 0.4484 0.7746  4 Ge 2.50-2.77, 2 Pt 2.80
5 Pt 0.5000 0.2835 0.6281  3 Ge 2.50, 1 Pt 2.78
6 Pt 0.5000 0.3413 0.2603  3 Ge 2.40-2.53